A geometry-optimized CaHfRh2 structure. Source: Alexandria via LeMat-Bulk, functional GGA-PBE.

abc: 3.2449 3.2449 7.1751
angles: 90.00 90.00 90.00
Closest atoms and distances in Å follow each position.
Positions (direct):
Ca (0.0000, 0.0000, 0.0000)  8 Rh 3.08, 4 Ca 3.24
Hf (0.0000, 0.0000, 0.5000)  8 Rh 2.76
Rh (0.5000, 0.5000, 0.2862)  4 Hf 2.76, 1 Rh 3.07, 4 Ca 3.08
Rh (0.5000, 0.5000, 0.7138)  4 Hf 2.76, 1 Rh 3.07, 4 Ca 3.08

The magnetic moment comes out at 0.0000 μB/atom. The calculation puts the total DFT energy (no corrections) at -29.69 eV per cell. For the formation energy, the calculation gives -0.76 eV/atom.